Entry from Alexandria: crystalline CoSiH2 at its relaxed geometry (PBE-GGA).

The structure in CIF format:
```
data_CoSiH2
_chemical_formula_sum 'Co4 Si4 H8'
_cell_length_a 3.9892
_cell_length_b 3.9892
_cell_length_c 8.0804
_cell_angle_alpha 90.00
_cell_angle_beta 90.00
_cell_angle_gamma 90.00
_space_group_name_H-M_alt 'I -4 2 d'
_space_group_IT_number 122
_space_group_name_Hall 'I -4 2bw'
loop_
_atom_site_label
_atom_site_type_symbol
_atom_site_fract_x
_atom_site_fract_y
_atom_site_fract_z
_atom_site_occupancy
Co1 Co 0.0000 0.0000 0.0000 1
Si1 Si 0.0000 0.0000 0.5000 1
H1 H 0.1783 0.2500 0.1250 1
```

Computed properties:
Its excess energy over the best structure of this formula in the dataset is 0.0 meV/atom.

***

Entry from Alexandria: crystalline Sc2BeCu6Ni at its relaxed geometry (PBE-GGA).

The structure in CIF format:
```
data_Sc2BeCu6Ni
_chemical_formula_sum 'Sc4 Be2 Cu12 Ni2'
_cell_length_a 10.7267
_cell_length_b 4.7910
_cell_length_c 6.7897
_cell_angle_alpha 90.00
_cell_angle_beta 126.73
_cell_angle_gamma 90.00
_space_group_name_H-M_alt 'C 1 2/m 1'
_space_group_IT_number 12
_space_group_name_Hall '-C 2y'
loop_
_atom_site_label
_atom_site_type_symbol
_atom_site_fract_x
_atom_site_fract_y
_atom_site_fract_z
_atom_site_occupancy
Sc1 Sc 0.0105 0.0000 0.2515 1
Be1 Be 0.0000 0.5000 0.5000 1
Cu1 Cu 0.1792 0.5000 0.4343 1
Cu2 Cu 0.2439 0.2512 0.8060 1
Ni1 Ni 0.0000 0.5000 0.0000 1
```

Computed properties:
As for the formation enthalpy at 0 K: -71.0 kJ/mol of formula units.

***

Entry from Alexandria: crystalline TaPtRh at its relaxed geometry (PBE-GGA).

The structure in CIF format:
```
data_TaPtRh
_chemical_formula_sum 'Ta1 Pt1 Rh1'
_cell_length_a 3.5459
_cell_length_b 3.8642
_cell_length_c 4.0284
_cell_angle_alpha 90.00
_cell_angle_beta 90.00
_cell_angle_gamma 90.00
_space_group_name_H-M_alt 'P m m m'
_space_group_IT_number 47
_space_group_name_Hall '-P 2 2'
loop_
_atom_site_label
_atom_site_type_symbol
_atom_site_fract_x
_atom_site_fract_y
_atom_site_fract_z
_atom_site_occupancy
Ta1 Ta 0.0000 0.0000 0.0000 1
Pt1 Pt 0.5000 0.0000 0.5000 1
Rh1 Rh 0.5000 0.5000 0.0000 1
```

Computed properties:
As for the formation enthalpy at 0 K: -50.4 kJ/mol of formula units. Its excess energy over the best structure of this formula in the dataset is 447.7 meV/atom.

***

Entry from Alexandria: crystalline TlAsBr2F at its relaxed geometry (PBE-GGA).

The structure in CIF format:
```
data_TlAsBr2F
_chemical_formula_sum 'Tl1 As1 Br2 F1'
_cell_length_a 5.9343
_cell_length_b 5.9343
_cell_length_c 3.9155
_cell_angle_alpha 90.00
_cell_angle_beta 90.00
_cell_angle_gamma 90.00
_space_group_name_H-M_alt 'P 4/m m m'
_space_group_IT_number 123
_space_group_name_Hall '-P 4 2'
loop_
_atom_site_label
_atom_site_type_symbol
_atom_site_fract_x
_atom_site_fract_y
_atom_site_fract_z
_atom_site_occupancy
Tl1 Tl 0.0000 0.0000 0.0000 1
As1 As 0.5000 0.5000 0.0000 1
Br1 Br 0.0000 0.5000 0.5000 1
F1 F 0.5000 0.5000 0.5000 1
```

Computed properties:
For the formation energy without anion corrections, the calculation gives -0.436 eV/atom. Its excess energy over the best structure of this formula in the dataset is 0.0 meV/atom.

***

Entry from Alexandria: crystalline SiIr2PdPt at its relaxed geometry (PBE-GGA).

The structure in CIF format:
```
data_SiIr2PdPt
_chemical_formula_sum 'Si1 Ir2 Pd1 Pt1'
_cell_length_a 4.7461
_cell_length_b 4.7461
_cell_length_c 4.9225
_cell_angle_alpha 90.00
_cell_angle_beta 90.00
_cell_angle_gamma 90.00
_space_group_name_H-M_alt 'P 4/m m m'
_space_group_IT_number 123
_space_group_name_Hall '-P 4 2'
loop_
_atom_site_label
_atom_site_type_symbol
_atom_site_fract_x
_atom_site_fract_y
_atom_site_fract_z
_atom_site_occupancy
Si1 Si 0.0000 0.0000 0.0000 1
Ir1 Ir 0.0000 0.5000 0.5000 1
Pd1 Pd 0.5000 0.5000 0.0000 1
Pt1 Pt 0.5000 0.5000 0.5000 1
```

Computed properties:
For the formation energy without anion corrections, the calculation gives 1.759 eV/atom.

***

Entry from Alexandria: crystalline Fe4CuNi15 at its relaxed geometry (PBE-GGA).

The structure in CIF format:
```
data_Fe4CuNi15
_chemical_formula_sum 'Fe4 Cu1 Ni15'
_cell_length_a 3.5491
_cell_length_b 3.5491
_cell_length_c 17.6164
_cell_angle_alpha 90.00
_cell_angle_beta 90.00
_cell_angle_gamma 90.00
_space_group_name_H-M_alt 'P 4/m m m'
_space_group_IT_number 123
_space_group_name_Hall '-P 4 2'
loop_
_atom_site_label
_atom_site_type_symbol
_atom_site_fract_x
_atom_site_fract_y
_atom_site_fract_z
_atom_site_occupancy
Fe1 Fe 0.0000 0.0000 0.1003 1
Fe2 Fe 0.0000 0.0000 0.3018 1
Cu1 Cu 0.0000 0.0000 0.5000 1
Ni1 Ni 0.0000 0.5000 0.0000 1
Ni2 Ni 0.0000 0.5000 0.1998 1
Ni3 Ni 0.0000 0.5000 0.3988 1
Ni4 Ni 0.5000 0.5000 0.0999 1
Ni5 Ni 0.5000 0.5000 0.2993 1
Ni6 Ni 0.5000 0.5000 0.5000 1
```

Computed properties:
As for the formation enthalpy at 0 K: -130.0 kJ/mol of formula units.

***

Entry from Alexandria: crystalline Pm5Y3Se8 at its relaxed geometry (PBE-GGA).

The structure in CIF format:
```
data_Pm5Y3Se8
_chemical_formula_sum 'Pm15 Y9 Se24'
_cell_length_a 8.2943
_cell_length_b 8.2943
_cell_length_c 20.4673
_cell_angle_alpha 90.00
_cell_angle_beta 90.00
_cell_angle_gamma 120.00
_space_group_name_H-M_alt 'R -3 m'
_space_group_IT_number 166
_space_group_name_Hall '-R 3 2"'
loop_
_atom_site_label
_atom_site_type_symbol
_atom_site_fract_x
_atom_site_fract_y
_atom_site_fract_z
_atom_site_occupancy
Pm1 Pm 0.0000 0.0000 0.0000 1
Pm2 Pm 0.0000 0.0000 0.5000 1
Pm3 Pm 0.0000 0.5000 0.0000 1
Y1 Y 0.0000 0.5000 0.5000 1
Se1 Se 0.0000 0.0000 0.2465 1
Se2 Se 0.0048 0.5024 0.7524 1
```

Computed properties:
For the formation energy without anion corrections, the calculation gives -1.804 eV/atom.

***

Entry from Alexandria: crystalline RbMnTe2I at its relaxed geometry (PBE-GGA).

The structure in CIF format:
```
data_RbMnTe2I
_chemical_formula_sum 'Rb1 Mn1 Te2 I1'
_cell_length_a 5.0603
_cell_length_b 5.0603
_cell_length_c 6.2754
_cell_angle_alpha 90.00
_cell_angle_beta 90.00
_cell_angle_gamma 90.00
_space_group_name_H-M_alt 'P 4/m m m'
_space_group_IT_number 123
_space_group_name_Hall '-P 4 2'
loop_
_atom_site_label
_atom_site_type_symbol
_atom_site_fract_x
_atom_site_fract_y
_atom_site_fract_z
_atom_site_occupancy
Rb1 Rb 0.0000 0.0000 0.0000 1
Mn1 Mn 0.5000 0.5000 0.5000 1
Te1 Te 0.0000 0.5000 0.5000 1
I1 I 0.5000 0.5000 0.0000 1
```

Computed properties:
For the formation energy without anion corrections, the calculation gives -0.147 eV/atom.